1.
# Sr2PmHoSe4 | Alexandria via LeMat-Bulk | GGA-PBE | optimized geometry
# ρ = 6.04 Mg/m³
# raw total energy = -5.220 eV per atom
# energy relative to the elements, uncorrected = -1.89 eV/atom
data_Sr2PmHoSe4
_chemical_formula_sum 'Sr2 Pm1 Ho1 Se4'
_space_group_name_H-M_alt 'P 1 2/m 1'
_space_group_IT_number 10
_cell_length_a 7.333
_cell_length_b 4.233
_cell_length_c 7.499
_cell_angle_alpha 90.00
_cell_angle_beta 109.01
_cell_angle_gamma 90.00
loop_
_space_group_symop_operation_xyz
'x,y,z'
'-x,-y,-z'
'-x,y,-z'
'x,-y,z'
loop_
_atom_site_label
_atom_site_type_symbol
_atom_site_fract_x
_atom_site_fract_y
_atom_site_fract_z
Sr1 Sr 0.000 0.000 0.000
Sr2 Sr 0.500 0.500 0.000
Pm1 Pm 0.000 0.500 0.500
Ho1 Ho 0.500 0.000 0.500
Se1 Se 0.252 0.000 0.736
Se2 Se 0.262 0.500 0.268

2.
# Er3ScRu | Alexandria via LeMat-Bulk | GGA-PBE | optimized geometry
# ρ = 7.92 Mg/m³
# raw total energy = -6.071 eV per atom
# calculated formation energy = -0.2115 eV/atom
data_Er3ScRu
_chemical_formula_sum 'Er12 Sc4 Ru4'
_space_group_name_H-M_alt 'C 1 2/m 1'
_space_group_IT_number 12
_cell_length_a 11.314
_cell_length_b 8.488
_cell_length_c 7.790
_cell_angle_alpha 90.00
_cell_angle_beta 133.42
_cell_angle_gamma 90.00
loop_
_space_group_symop_operation_xyz
'x,y,z'
'-x,-y,-z'
'-x,y,-z'
'x,-y,z'
'x+1/2,y+1/2,z'
'-x+1/2,-y+1/2,-z'
'-x+1/2,y+1/2,-z'
'x+1/2,-y+1/2,z'
loop_
_atom_site_label
_atom_site_type_symbol
_atom_site_fract_x
_atom_site_fract_y
_atom_site_fract_z
Er1 Er 0.055 0.000 0.265
Er2 Er 0.243 0.304 0.202
Sc1 Sc 0.054 0.500 0.360
Ru1 Ru 0.244 0.500 0.869

3.
# BiBPt2C | Alexandria via LeMat-Bulk | GGA-PBE | optimized geometry
# ρ = 13.69 Mg/m³
# raw total energy = -5.868 eV per atom
# calculated formation energy = 0.5052 eV/atom
data_BiBPt2C
_chemical_formula_sum 'Bi1 B1 Pt2 C1'
_space_group_name_H-M_alt 'P 4/m m m'
_space_group_IT_number 123
_space_group_name_Hall '-P 4 2'
_cell_length_a 5.035
_cell_length_b 5.035
_cell_length_c 2.976
_cell_angle_alpha 90.00
_cell_angle_beta 90.00
_cell_angle_gamma 90.00
loop_
_atom_site_label
_atom_site_type_symbol
_atom_site_fract_x
_atom_site_fract_y
_atom_site_fract_z
Bi1 Bi 0.000 0.000 0.000
B1 B 0.500 0.500 0.000
Pt1 Pt 0.000 0.500 0.500
C1 C 0.500 0.500 0.500

4.
# Sr2Ni3Sn4Pt | Alexandria via LeMat-Bulk | GGA-PBE | optimized geometry
# ρ = 7.75 Mg/m³
# raw total energy = -4.772 eV per atom
# calculated formation energy = -0.4964 eV/atom
data_Sr2Ni3Sn4Pt
_chemical_formula_sum 'Sr2 Ni3 Sn4 Pt1'
_space_group_name_H-M_alt 'P -4 m 2'
_space_group_IT_number 115
_cell_length_a 4.535
_cell_length_b 4.535
_cell_length_c 10.643
_cell_angle_alpha 90.00
_cell_angle_beta 90.00
_cell_angle_gamma 90.00
loop_
_space_group_symop_operation_xyz
'x,y,z'
'y,-x,-z'
'-x,-y,z'
'-y,x,-z'
'-x,y,z'
'-y,-x,-z'
'x,-y,z'
'y,x,-z'
loop_
_atom_site_label
_atom_site_type_symbol
_atom_site_fract_x
_atom_site_fract_y
_atom_site_fract_z
Sr1 Sr 0.000 0.500 0.246
Ni1 Ni 0.000 0.000 0.000
Ni2 Ni 0.000 0.500 0.626
Sn1 Sn 0.000 0.000 0.500
Sn2 Sn 0.000 0.500 0.870
Sn3 Sn 0.500 0.500 0.500
Pt1 Pt 0.500 0.500 0.000

5.
# Nd3Tl4Rh4 | Alexandria via LeMat-Bulk | GGA-PBE | optimized geometry
# ρ = 10.89 Mg/m³
# raw total energy = -5.209 eV per atom
# calculated formation energy = -0.3749 eV/atom
data_Nd3Tl4Rh4
_chemical_formula_sum 'Nd6 Tl8 Rh8'
_space_group_name_H-M_alt 'I m m m'
_space_group_IT_number 71
_space_group_name_Hall '-I 2 2'
_cell_length_a 3.948
_cell_length_b 8.185
_cell_length_c 15.688
_cell_angle_alpha 90.00
_cell_angle_beta 90.00
_cell_angle_gamma 90.00
loop_
_atom_site_label
_atom_site_type_symbol
_atom_site_fract_x
_atom_site_fract_y
_atom_site_fract_z
Nd1 Nd 0.000 0.000 0.000
Nd2 Nd 0.000 0.500 0.114
Tl1 Tl 0.000 0.305 0.333
Rh1 Rh 0.000 0.000 0.238
Rh2 Rh 0.000 0.198 0.500

6.
# LiPrDyS3 | Alexandria via LeMat-Bulk | GGA-PBE | optimized geometry
# ρ = 5.14 Mg/m³
# raw total energy = -5.778 eV per atom
# energy relative to the elements, uncorrected = -1.83 eV/atom
data_LiPrDyS3
_chemical_formula_sum 'Li2 Pr2 Dy2 S6'
_space_group_name_H-M_alt 'P 1 21/m 1'
_space_group_IT_number 11
_cell_length_a 8.169
_cell_length_b 3.882
_cell_length_c 8.488
_cell_angle_alpha 90.00
_cell_angle_beta 102.76
_cell_angle_gamma 90.00
loop_
_space_group_symop_operation_xyz
'x,y,z'
'-x,-y,-z'
'-x,y+1/2,-z'
'x,-y+1/2,z'
loop_
_atom_site_label
_atom_site_type_symbol
_atom_site_fract_x
_atom_site_fract_y
_atom_site_fract_z
Li1 Li 0.087 0.250 0.085
Pr1 Pr 0.188 0.250 0.723
Dy1 Dy 0.336 0.750 0.335
S1 S 0.100 0.250 0.367
S2 S 0.213 0.750 0.001
S3 S 0.432 0.750 0.671